1.
# ScTc4As

A relaxed structure of ScTc4As (GGA-PBEsol, Alexandria via LeMat-Bulk).

Calculated values
ΔE_f ... 0.13 eV per atom
Final energy ... -56.01 eV for the cell shown
Spin magnetization ... 0.0 Bohr magnetons per cell

Cell and atoms, written as POSCAR:
```
ScTc4As
1.0
-0.615 -4.062 -3.066
-1.886 -4.376 1.890
-4.713 -1.535 -1.306
Tc Sc As
4 1 1
Direct
0.376 0.376 0.872
0.376 0.376 0.376
0.872 0.376 0.376
0.376 0.872 0.376
0.000 0.000 0.000
0.750 0.750 0.750
```


2.
# ScTc3As

A relaxed structure of ScTc3As (GGA-PBEsol, Alexandria via LeMat-Bulk).

Calculated values
ΔE_f ... 0.65 eV per atom
Final energy ... -42.26 eV for the cell shown
Spin magnetization ... 1.9 Bohr magnetons per cell

Cell and atoms, written as POSCAR:
```
ScTc3As
1.0
4.505 0.000 0.000
0.000 4.505 0.000
0.000 0.000 4.505
Tc Sc As
3 1 1
Direct
0.500 0.000 0.000
0.000 0.500 0.000
0.000 0.000 0.500
0.500 0.500 0.500
0.000 0.000 0.000
```


3.
# ScTc2As

A relaxed structure of ScTc2As (GGA-PBEsol, Alexandria via LeMat-Bulk).

Calculated values
ΔE_f ... -0.26 eV per atom
Final energy ... -35.28 eV for the cell shown
Spin magnetization ... 0.0 Bohr magnetons per cell

Cell and atoms, written as POSCAR:
```
ScTc2As
1.0
2.963 0.000 0.000
0.000 2.963 0.000
0.000 0.000 7.235
Sc Tc As
1 2 1
Direct
0.500 0.500 0.763
0.000 0.000 0.027
0.500 0.500 0.250
0.000 0.000 0.460
```


4.
# ScTcAs2

A relaxed structure of ScTcAs2 (GGA-PBEsol, Alexandria via LeMat-Bulk).

Calculated values
ΔE_f ... -0.28 eV per atom
Final energy ... -29.22 eV for the cell shown
Spin magnetization ... 0.3 Bohr magnetons per cell

Cell and atoms, written as POSCAR:
```
ScTcAs2
1.0
-0.624 0.478 3.719
2.166 -3.031 0.753
2.828 3.915 -1.971
As Sc Tc
2 1 1
Direct
0.000 0.000 0.000
0.750 0.250 0.500
0.500 0.500 0.000
0.250 0.750 0.500
```


5.
# ScTcAs

A relaxed structure of ScTcAs (GGA-PBEsol, Alexandria via LeMat-Bulk).

Calculated values
ΔE_f ... -0.30 eV per atom
Final energy ... -23.88 eV for the cell shown
Spin magnetization ... 0.0 Bohr magnetons per cell

Cell and atoms, written as POSCAR:
```
ScTcAs
1.0
3.292 0.000 0.000
-1.646 2.851 0.000
0.000 0.000 5.610
Tc Sc As
1 1 1
Direct
0.667 0.333 0.299
0.333 0.667 0.673
0.000 0.000 0.028
```


6.
# Sc3TeAs

A relaxed structure of Sc3TeAs (GGA-PBEsol, Alexandria via LeMat-Bulk).

Calculated values
Final energy ... -27.92 eV for the cell shown
Formation energy (no corrections) ... 51 kJ/mol of formula units
Spin magnetization ... 0.0 Bohr magnetons per cell

Cell and atoms, written as POSCAR:
```
Sc3TeAs
1.0
5.194 0.000 0.000
0.000 5.194 0.000
0.000 0.000 5.194
Sc Te As
3 1 1
Direct
0.500 0.000 0.000
0.000 0.500 0.000
0.000 0.000 0.500
0.000 0.000 0.000
0.500 0.500 0.500
```


7.
# ScTeAs2

A relaxed structure of ScTeAs2 (GGA-PBEsol, Alexandria via LeMat-Bulk).

Calculated values
Final energy ... -21.84 eV for the cell shown
Formation energy (no corrections) ... -145 kJ/mol of formula units
Spin magnetization ... 0.0 Bohr magnetons per cell

Cell and atoms, written as POSCAR:
```
ScTeAs2
1.0
-2.171 -1.845 -2.947
-0.254 -3.381 2.303
-2.955 4.299 2.336
Te As Sc
1 2 1
Direct
0.000 0.000 0.000
0.750 0.250 0.500
0.250 0.750 0.500
0.500 0.500 0.000
```


8.
# ScTeAs2

A relaxed structure of ScTeAs2 (GGA-PBEsol, Alexandria via LeMat-Bulk).

Calculated values
Final energy ... -21.51 eV for the cell shown
Formation energy (no corrections) ... -113 kJ/mol of formula units
Spin magnetization ... 0.0 Bohr magnetons per cell

Cell and atoms, written as POSCAR:
```
ScTeAs2
1.0
-1.055 -3.441 -0.448
4.554 -1.428 0.248
-0.412 -0.490 4.736
Te As Sc
1 2 1
Direct
0.500 0.000 0.000
0.000 0.000 0.500
0.000 0.500 0.000
0.500 0.500 0.500
```


9.
# ScTeAs2

A relaxed structure of ScTeAs2 (GGA-PBEsol, Alexandria via LeMat-Bulk).

Calculated values
Final energy ... -21.54 eV for the cell shown
Formation energy (no corrections) ... -116 kJ/mol of formula units
Spin magnetization ... 0.0 Bohr magnetons per cell

Cell and atoms, written as POSCAR:
```
ScTeAs2
1.0
-1.075 -1.446 2.362
2.370 -1.791 -0.017
5.128 6.724 6.448
Te Sc As
1 1 2
Direct
0.500 0.500 0.500
0.500 0.500 0.000
0.000 0.000 0.184
0.000 0.000 0.816
```


10.
# YScTlAs2

A relaxed structure of YScTlAs2 (GGA-PBEsol, Alexandria via LeMat-Bulk).

Calculated values
ΔE_f ... 0.43 eV per atom
Final energy ... -24.10 eV for the cell shown
Spin magnetization ... 0.0 Bohr magnetons per cell

Cell and atoms, written as POSCAR:
```
YScTlAs2
1.0
-3.055 2.035 3.841
-4.320 -1.944 -2.405
0.493 -4.590 2.824
Sc Tl As Y
1 1 2 1
Direct
0.000 0.000 0.500
0.500 0.500 0.500
0.500 0.000 0.000
0.000 0.500 0.000
0.000 0.000 0.000
```


11.
# ScAsW

A relaxed structure of ScAsW (GGA-PBEsol, Alexandria via LeMat-Bulk).

Calculated values
ΔE_f ... -0.14 eV per atom
Final energy ... -25.94 eV for the cell shown
Spin magnetization ... 0.0 Bohr magnetons per cell

Cell and atoms, written as POSCAR:
```
ScAsW
1.0
3.229 0.000 0.000
-1.614 2.796 0.000
0.000 0.000 5.963
W As Sc
1 1 1
Direct
0.667 0.333 0.305
0.000 0.000 0.020
0.333 0.667 0.675
```


12.
# Sc2AsW

A relaxed structure of Sc2AsW (GGA-PBEsol, Alexandria via LeMat-Bulk).

Calculated values
ΔE_f ... -0.10 eV per atom
Final energy ... -32.50 eV for the cell shown
Spin magnetization ... 0.0 Bohr magnetons per cell

Cell and atoms, written as POSCAR:
```
Sc2AsW
1.0
-2.923 -0.130 1.146
-2.384 -0.838 -1.867
-0.562 -8.533 1.906
As Sc W
1 2 1
Direct
0.000 0.000 0.000
0.747 0.747 0.759
0.253 0.253 0.241
0.500 0.500 0.500
```